No. 1
HfAuN2O: optimized geometry, PBE.

```
HfAuN2O
1.0
4.034 0.000 0.000
0.000 4.034 0.000
0.000 0.000 3.899
Hf Au N O
1 1 2 1
direct
0.000 0.000 0.000
0.500 0.500 0.500
0.000 0.500 0.500
0.500 0.000 0.500
0.500 0.500 0.000
```

crystal system	tetragonal
uncorrected formation energy	0.814	eV per atom


No. 2
CaTm2PuN4: optimized geometry, PBE.

```
CaTm2PuN4
1.0
5.911 0.000 0.000
0.000 3.456 0.000
-1.857 0.000 5.612
Ca Tm Pu N
1 2 1 4
direct
0.000 0.000 0.000
0.000 0.500 0.500
0.500 0.000 0.500
0.500 0.500 0.000
0.254 0.000 0.742
0.276 0.500 0.249
0.724 0.500 0.751
0.746 0.000 0.258
```

crystal system	monoclinic
uncorrected formation energy	-1.456	eV per atom


No. 3
Zr2Al5Fe2Au: optimized geometry, PBE.

```
Zr2Al5Fe2Au
1.0
8.961 0.000 0.000
0.000 8.961 0.000
0.000 0.000 4.007
Zr Al Fe Au
4 10 4 2
direct
0.178 0.322 0.000
0.322 0.822 0.000
0.678 0.178 0.000
0.822 0.678 0.000
0.000 0.500 0.500
0.067 0.786 0.500
0.214 0.067 0.500
0.286 0.567 0.500
0.433 0.286 0.500
0.500 0.000 0.500
0.567 0.714 0.500
0.714 0.433 0.500
0.786 0.933 0.500
0.933 0.214 0.500
0.113 0.613 0.000
0.387 0.113 0.000
0.613 0.887 0.000
0.887 0.387 0.000
0.000 0.000 0.000
0.500 0.500 0.000
```

crystal system	tetragonal
energy of formation from the pure elements	-384	meV per atom


No. 4
AcPmPr5Y2: optimized geometry, PBE.

```
AcPmPr5Y2
1.0
2.836 -12.329 0.000
2.836 12.329 0.000
0.000 0.000 9.583
Ac Pm Pr Y
2 2 10 4
direct
0.103 0.897 0.500
0.897 0.103 0.000
0.264 0.736 0.108
0.736 0.264 0.608
0.024 0.976 0.825
0.105 0.895 0.103
0.190 0.810 0.799
0.241 0.759 0.433
0.492 0.508 0.605
0.508 0.492 0.105
0.759 0.241 0.933
0.810 0.190 0.299
0.895 0.105 0.603
0.976 0.024 0.325
0.329 0.671 0.747
0.388 0.612 0.356
0.612 0.388 0.856
0.671 0.329 0.247
```

crystal system	orthorhombic
energy of formation from the pure elements	135	meV per atom


Q: Which formula does entry 1 have?
A: HfAuN2O